DFT (PBE) results for a relaxed structure of HfPaB.

Computed properties:
ρ	11.01	g cm⁻³
magnetic moment	0.295	μB/atom
offset from the most stable computed form	1418	meV per atom

Geometry as POSCAR:
```
HfPaB
1.0
-4.1766 -1.1997 1.0729
-3.3362 2.9652 -0.3348
-3.0898 -0.4600 -3.2056
B Hf Pa
1 1 1
direct
0.2500 0.2500 0.2500
0.7500 0.7500 0.7500
0.0000 0.0000 0.0000
```